# PBE CaReAu2, optimized geometry
# - E_form (eV/atom) = 0.216
# - excess energy over the best structure of this formula in the dataset (eV per atom) = 0.0491
data_CaReAu2
_symmetry_space_group_name_H-M 'P 1'
_symmetry_Int_Tables_number 1
_cell_length_a 4.1392
_cell_length_b 2.8382
_cell_length_c 7.0865
_cell_angle_alpha 66.40
_cell_angle_beta 90.00
_cell_angle_gamma 90.00
loop_
_symmetry_equiv_pos_as_xyz
'x,y,z'
loop_
_atom_site_label
_atom_site_type_symbol
_atom_site_fract_x
_atom_site_fract_y
_atom_site_fract_z
Au1 Au 0.0000 0.4665 0.5339
Au2 Au 0.0000 0.0335 0.9661
Re1 Re 0.5000 0.7500 0.7500
Ca1 Ca 0.5000 0.2500 0.2500

***

# PBE Ca2ReAu, optimized geometry
# - E_form (eV/atom) = 0.680
# - excess energy over the best structure of this formula in the dataset (eV per atom) = 0.4405
data_Ca2ReAu
_symmetry_space_group_name_H-M 'P 1'
_symmetry_Int_Tables_number 1
_cell_length_a 10.5338
_cell_length_b 10.5338
_cell_length_c 10.5338
_cell_angle_alpha 17.48
_cell_angle_beta 17.48
_cell_angle_gamma 17.48
loop_
_symmetry_equiv_pos_as_xyz
'x,y,z'
loop_
_atom_site_label
_atom_site_type_symbol
_atom_site_fract_x
_atom_site_fract_y
_atom_site_fract_z
Ca1 Ca 0.2363 0.2363 0.2363
Ca2 Ca 0.0133 0.0133 0.0133
Re1 Re 0.4927 0.4927 0.4927
Au1 Au 0.7577 0.7577 0.7577

***

# PBE Ca2ReAu, optimized geometry
# - E_form (eV/atom) = 0.460
# - excess energy over the best structure of this formula in the dataset (eV per atom) = 0.2212
data_Ca2ReAu
_symmetry_space_group_name_H-M 'P 1'
_symmetry_Int_Tables_number 1
_cell_length_a 2.8290
_cell_length_b 5.1594
_cell_length_c 6.0167
_cell_angle_alpha 90.00
_cell_angle_beta 90.00
_cell_angle_gamma 90.00
loop_
_symmetry_equiv_pos_as_xyz
'x,y,z'
loop_
_atom_site_label
_atom_site_type_symbol
_atom_site_fract_x
_atom_site_fract_y
_atom_site_fract_z
Au1 Au 0.5000 0.5000 0.7927
Ca1 Ca 0.5000 0.5000 0.3077
Ca2 Ca 0.0000 0.0000 0.9470
Re1 Re 0.0000 0.0000 0.4526

***

# PBE Ca3ReAu, optimized geometry
# - E_form (eV/atom) = 0.638
# - excess energy over the best structure of this formula in the dataset (eV per atom) = 0.0000
data_Ca3ReAu
_symmetry_space_group_name_H-M 'P 1'
_symmetry_Int_Tables_number 1
_cell_length_a 5.4149
_cell_length_b 5.4149
_cell_length_c 5.4149
_cell_angle_alpha 90.00
_cell_angle_beta 90.00
_cell_angle_gamma 90.00
loop_
_symmetry_equiv_pos_as_xyz
'x,y,z'
loop_
_atom_site_label
_atom_site_type_symbol
_atom_site_fract_x
_atom_site_fract_y
_atom_site_fract_z
Ca1 Ca 0.0000 0.0000 0.5000
Ca2 Ca 0.5000 0.0000 0.0000
Ca3 Ca 0.0000 0.5000 0.0000
Re1 Re 0.0000 0.0000 0.0000
Au1 Au 0.5000 0.5000 0.5000

***

# PBE CaReAu2, optimized geometry
# - E_form (eV/atom) = 0.171
# - excess energy over the best structure of this formula in the dataset (eV per atom) = 0.0038
data_CaReAu2
_symmetry_space_group_name_H-M 'P 1'
_symmetry_Int_Tables_number 1
_cell_length_a 4.9687
_cell_length_b 4.9687
_cell_length_c 3.0143
_cell_angle_alpha 90.00
_cell_angle_beta 90.00
_cell_angle_gamma 90.00
loop_
_symmetry_equiv_pos_as_xyz
'x,y,z'
loop_
_atom_site_label
_atom_site_type_symbol
_atom_site_fract_x
_atom_site_fract_y
_atom_site_fract_z
Au1 Au 0.0000 0.0000 0.0000
Au2 Au 0.5000 0.5000 0.0000
Ca1 Ca 0.5000 0.0000 0.5000
Re1 Re 0.0000 0.5000 0.5000

***

# PBE CaRe2Au2, optimized geometry
# - E_form (eV/atom) = 0.386
# - excess energy over the best structure of this formula in the dataset (eV per atom) = 0.0000
data_CaRe2Au2
_symmetry_space_group_name_H-M 'P 1'
_symmetry_Int_Tables_number 1
_cell_length_a 8.1023
_cell_length_b 8.1023
_cell_length_c 2.8998
_cell_angle_alpha 90.00
_cell_angle_beta 90.00
_cell_angle_gamma 90.00
loop_
_symmetry_equiv_pos_as_xyz
'x,y,z'
loop_
_atom_site_label
_atom_site_type_symbol
_atom_site_fract_x
_atom_site_fract_y
_atom_site_fract_z
Au1 Au 0.6909 0.8091 0.5000
Au2 Au 0.3091 0.1909 0.5000
Au3 Au 0.1909 0.6909 0.5000
Au4 Au 0.8091 0.3091 0.5000
Re1 Re 0.3970 0.8970 0.0000
Re2 Re 0.8970 0.6030 0.0000
Re3 Re 0.1030 0.3970 0.0000
Re4 Re 0.6030 0.1030 0.0000
Ca1 Ca 0.0000 0.0000 0.0000
Ca2 Ca 0.5000 0.5000 0.0000